# PBE LiPrCdGe, optimized geometry
data_LiPrCdGe
_cell_length_a 7.177
_cell_length_b 7.177
_cell_length_c 7.177
_cell_angle_alpha 90.00
_cell_angle_beta 90.00
_cell_angle_gamma 90.00
_space_group_name_H-M_alt 'F -4 3 m'
_space_group_IT_number 216
_space_group_name_Hall 'F -4 2 3'
loop_
_atom_site_label
_atom_site_type_symbol
_atom_site_fract_x
_atom_site_fract_y
_atom_site_fract_z
Li1 Li 0.000 0.000 0.000
Pr1 Pr 0.000 0.000 0.500
Cd1 Cd 0.250 0.250 0.250
Ge1 Ge 0.250 0.250 0.750
# * calculated total energy: -55.39 eV/cell
# * DOS at the Fermi energy: 8.00 states/eV per cell

=====

# PBE NpZn11Ge, optimized geometry
data_NpZn11Ge
_cell_length_a 5.297
_cell_length_b 12.737
_cell_length_c 6.751
_cell_angle_alpha 90.00
_cell_angle_beta 112.11
_cell_angle_gamma 90.00
_space_group_name_H-M_alt 'C 1 2/m 1'
_space_group_IT_number 12
loop_
_space_group_symop_operation_xyz
'x,y,z'
'-x,-y,-z'
'-x,y,-z'
'x,-y,z'
'x+1/2,y+1/2,z'
'-x+1/2,-y+1/2,-z'
'-x+1/2,y+1/2,-z'
'x+1/2,-y+1/2,z'
loop_
_atom_site_label
_atom_site_type_symbol
_atom_site_fract_x
_atom_site_fract_y
_atom_site_fract_z
Np1 Np 0.000 0.000 0.000
Zn1 Zn 0.000 0.500 0.500
Zn2 Zn 0.095 0.392 0.210
Zn3 Zn 0.186 0.180 0.352
Zn4 Zn 0.250 0.250 0.000
Ge1 Ge 0.000 0.000 0.500
# * calculated total energy: -63.18 eV/cell
# * DOS at the Fermi energy: 22.77 states/eV per cell

=====

# PBE LaCu2Hg, optimized geometry
data_LaCu2Hg
_cell_length_a 4.186
_cell_length_b 4.188
_cell_length_c 9.778
_cell_angle_alpha 90.00
_cell_angle_beta 90.12
_cell_angle_gamma 90.00
_space_group_name_H-M_alt 'P 1 21/m 1'
_space_group_IT_number 11
loop_
_space_group_symop_operation_xyz
'x,y,z'
'-x,-y,-z'
'-x,y+1/2,-z'
'x,-y+1/2,z'
loop_
_atom_site_label
_atom_site_type_symbol
_atom_site_fract_x
_atom_site_fract_y
_atom_site_fract_z
La1 La 0.249 0.250 0.263
Cu1 Cu 0.250 0.750 0.500
Cu2 Cu 0.251 0.250 0.638
Hg1 Hg 0.251 0.250 0.919
# * calculated total energy: -28.90 eV/cell
# * DOS at the Fermi energy: 5.09 states/eV per cell

=====

# PBE ReSi, optimized geometry
data_ReSi
_cell_length_a 9.648
_cell_length_b 9.648
_cell_length_c 3.017
_cell_angle_alpha 90.00
_cell_angle_beta 90.00
_cell_angle_gamma 90.00
_space_group_name_H-M_alt 'I 4/m'
_space_group_IT_number 87
_space_group_name_Hall '-I 4'
loop_
_atom_site_label
_atom_site_type_symbol
_atom_site_fract_x
_atom_site_fract_y
_atom_site_fract_z
Re1 Re 0.064 0.348 0.000
Si1 Si 0.148 0.787 0.000
# * DOS at the Fermi energy: 6.90 states/eV per cell
# * formation energy without anion corrections: 117 meV per atom